SmYAl2Ga2 | PBE | optimized geometry

Output
Final energy (eV/atom): -4.7035
Space group: No. 164

a b c (Å): 4.479 4.479 7.283
angles (deg): 90.00 90.00 120.00
Fractional positions:
Sm 0.000 0.000 0.000
Y 0.000 0.000 0.500
Al 0.333 0.667 0.744
Al 0.667 0.333 0.256
Ga 0.333 0.667 0.257
Ga 0.667 0.333 0.743